# Rb2FeH12S2O14 PBE with a Hubbard U relaxed
data_Rb2FeH12S2O14
_chemical_formula_sum 'Rb4 Fe2 H24 S4 O28'
_symmetry_space_group_name_H-M 'P 1'
_symmetry_Int_Tables_number 1
_symmetry_space_group_name_Hall 'P 1'
_cell_length_a 6.361
_cell_length_b 9.282
_cell_length_c 12.600
_cell_angle_alpha 90.00
_cell_angle_beta 90.00
_cell_angle_gamma 104.72
loop_
_atom_site_label
_atom_site_type_symbol
_atom_site_fract_x
_atom_site_fract_y
_atom_site_fract_z
Rb1 Rb 0.342 0.629 0.850
Rb2 Rb 0.658 0.871 0.350
Rb3 Rb 0.658 0.371 0.150
Rb4 Rb 0.342 0.129 0.650
Fe1 Fe 0.000 0.500 0.500
Fe2 Fe 0.000 0.000 0.000
H1 H 0.327 0.717 0.597
H2 H 0.673 0.783 0.097
H3 H 0.673 0.283 0.403
H4 H 0.327 0.217 0.903
H5 H 0.097 0.746 0.628
H6 H 0.903 0.754 0.128
H7 H 0.903 0.254 0.372
H8 H 0.097 0.246 0.872
H9 H 0.917 0.221 0.601
H10 H 0.083 0.279 0.101
H11 H 0.083 0.779 0.399
H12 H 0.917 0.721 0.899
H13 H 0.984 0.346 0.689
H14 H 0.016 0.154 0.189
H15 H 0.016 0.654 0.311
H16 H 0.984 0.846 0.811
H17 H 0.331 0.392 0.434
H18 H 0.669 0.108 0.934
H19 H 0.669 0.608 0.566
H20 H 0.331 0.892 0.066
H21 H 0.322 0.524 0.355
H22 H 0.678 0.976 0.855
H23 H 0.678 0.476 0.645
H24 H 0.322 0.024 0.145
S1 S 0.730 0.902 0.641
S2 S 0.270 0.598 0.141
S3 S 0.270 0.098 0.359
S4 S 0.730 0.402 0.859
O1 O 0.591 0.910 0.736
O2 O 0.409 0.590 0.236
O3 O 0.409 0.090 0.264
O4 O 0.591 0.410 0.764
O5 O 0.767 0.043 0.578
O6 O 0.233 0.457 0.078
O7 O 0.233 0.957 0.422
O8 O 0.767 0.543 0.922
O9 O 0.610 0.776 0.572
O10 O 0.390 0.724 0.072
O11 O 0.390 0.224 0.428
O12 O 0.610 0.276 0.928
O13 O 0.942 0.876 0.676
O14 O 0.058 0.624 0.176
O15 O 0.058 0.124 0.324
O16 O 0.942 0.376 0.824
O17 O 0.175 0.668 0.616
O18 O 0.825 0.832 0.116
O19 O 0.825 0.332 0.384
O20 O 0.175 0.168 0.884
O21 O 0.012 0.323 0.615
O22 O 0.988 0.177 0.115
O23 O 0.988 0.677 0.385
O24 O 0.012 0.823 0.885
O25 O 0.292 0.489 0.430
O26 O 0.708 0.011 0.930
O27 O 0.708 0.511 0.570
O28 O 0.292 0.989 0.070
# - Calculated density: 2432 kg/m3
# - Crystal system: monoclinic
# - Total DFT energy (no corrections): -5.39 eV/atom